CsNaAg | PBE-GGA | relaxed

The structure in POSCAR format:
```
CsNaAg
1.0
5.206 0.000 0.000
-2.581 6.895 0.000
-2.599 -1.114 7.181
Cs Na Ag
2 2 2
Direct
0.246 0.169 0.323
0.754 0.831 0.677
0.376 0.662 0.090
0.624 0.338 0.910
0.050 0.426 0.674
0.950 0.574 0.326
```

Values from the calculation:
For the formation energy, the calculation gives 0.06 eV per formula unit. The value obtained for the polymorph energy (0 for the lowest one) is 19 meV per atom.

CsNa2Ag | PBE-GGA | relaxed

The structure in POSCAR format:
```
CsNa2Ag
1.0
5.180 0.000 0.000
0.000 5.180 0.000
0.000 0.000 6.270
Cs Na Ag
1 2 1
Direct
0.000 0.000 0.000
0.000 0.500 0.500
0.500 0.000 0.500
0.500 0.500 0.000
```

Values from the calculation:
For the formation energy, the calculation gives 0.59 eV per formula unit. The value obtained for the polymorph energy (0 for the lowest one) is 114 meV per atom.

Cs2Na4Ag | PBE-GGA | relaxed

The structure in POSCAR format:
```
Cs2Na4Ag
1.0
6.000 0.000 0.000
0.000 6.000 0.000
0.000 0.000 21.596
Cs Na Ag
4 8 2
Direct
0.000 0.000 0.155
0.000 0.000 0.845
0.500 0.500 0.345
0.500 0.500 0.655
0.000 0.000 0.366
0.000 0.000 0.634
0.000 0.500 0.000
0.000 0.500 0.500
0.500 0.000 0.000
0.500 0.000 0.500
0.500 0.500 0.134
0.500 0.500 0.866
0.000 0.000 0.500
0.500 0.500 0.000
```

Values from the calculation:
For the formation energy, the calculation gives 0.45 eV per formula unit.

Cs12Na3Ag5 | PBE-GGA | relaxed

The structure in POSCAR format:
```
Cs12Na3Ag5
1.0
-11.762 11.762 11.762
11.762 -11.762 11.762
11.762 11.762 -11.762
Cs Na Ag
48 12 20
Direct
0.032 0.208 0.118
0.032 0.324 0.913
0.087 0.618 0.410
0.087 0.968 0.676
0.090 0.708 0.676
0.090 0.882 0.413
0.118 0.032 0.208
0.118 0.587 0.910
0.176 0.208 0.590
0.176 0.468 0.587
0.208 0.118 0.032
0.208 0.590 0.176
0.292 0.324 0.910
0.292 0.468 0.382
0.324 0.910 0.292
0.324 0.913 0.032
0.382 0.292 0.468
0.382 0.590 0.913
0.410 0.087 0.618
0.410 0.824 0.792
0.413 0.090 0.882
0.413 0.824 0.532
0.468 0.382 0.292
0.468 0.587 0.176
0.532 0.413 0.824
0.532 0.618 0.708
0.587 0.176 0.468
0.587 0.910 0.118
0.590 0.176 0.208
0.590 0.913 0.382
0.618 0.410 0.087
0.618 0.708 0.532
0.676 0.087 0.968
0.676 0.090 0.708
0.708 0.532 0.618
0.708 0.676 0.090
0.792 0.410 0.824
0.792 0.882 0.968
0.824 0.532 0.413
0.824 0.792 0.410
0.882 0.413 0.090
0.882 0.968 0.792
0.910 0.118 0.587
0.910 0.292 0.324
0.913 0.032 0.324
0.913 0.382 0.590
0.968 0.676 0.087
0.968 0.792 0.882
0.125 0.250 0.375
0.125 0.375 0.750
0.250 0.375 0.125
0.250 0.875 0.625
0.375 0.125 0.250
0.375 0.750 0.125
0.625 0.250 0.875
0.625 0.875 0.750
0.750 0.125 0.375
0.750 0.625 0.875
0.875 0.625 0.250
0.875 0.750 0.625
0.000 0.000 0.000
0.000 0.000 0.500
0.000 0.500 0.000
0.000 0.500 0.500
0.125 0.750 0.875
0.125 0.875 0.250
0.250 0.125 0.875
0.250 0.625 0.375
0.375 0.250 0.625
0.375 0.625 0.750
0.500 0.000 0.000
0.500 0.000 0.500
0.500 0.500 0.000
0.500 0.500 0.500
0.625 0.375 0.250
0.625 0.750 0.375
0.750 0.375 0.625
0.750 0.875 0.125
0.875 0.125 0.750
0.875 0.250 0.125
```

Values from the calculation:
For the formation energy, the calculation gives 2.28 eV per formula unit.